No. 1
A geometry-optimized PrFeH5 structure. Source: Alexandria, functional PBE-GGA.

Properties
Magnetization ... 0.3 μB per formula unit
Space-group type ... Immm (71)
Total DFT energy (no corrections) ... -4.5856 eV/atom

a = 4.5502 Å, b = 4.5502 Å, c = 4.5502 Å
α = 133.23°, β = 114.57°, γ = 84.21°
Atoms (fractional coordinates):
Pr 0.0000 0.0000 0.0000
Fe 0.5000 0.5000 0.0000
H 0.1046 0.3387 0.7659
H 0.4273 0.6613 0.7659
H 0.5000 0.0000 0.5000
H 0.5727 0.3387 0.2341
H 0.8954 0.6613 0.2341

=====

No. 2
A geometry-optimized PrFeSiH structure. Source: Alexandria, functional PBE-GGA.

Properties
Magnetization ... 0.0 μB per formula unit
Space-group type ... P4/nmm (129)
Total DFT energy (no corrections) ... -6.1064 eV/atom

a = 4.0067 Å, b = 4.0067 Å, c = 7.7050 Å
α = 90.00°, β = 90.00°, γ = 90.00°
Atoms (fractional coordinates):
Pr 0.2500 0.2500 0.1748
Pr 0.7500 0.7500 0.8252
Fe 0.2500 0.7500 0.5000
Fe 0.7500 0.2500 0.5000
Si 0.2500 0.2500 0.6384
Si 0.7500 0.7500 0.3616
H 0.2500 0.7500 0.0000
H 0.7500 0.2500 0.0000

=====

No. 3
A geometry-optimized Fe2HPt structure. Source: Alexandria, functional PBE-GGA.

Properties
Magnetization ... 5.6 μB per formula unit
ΔE to the lowest computed polymorph ... 2.398 kcal/mol of atoms
Space-group type ... Cmmm (65)
Total DFT energy (no corrections) ... -6.5375 eV/atom

a = 6.4017 Å, b = 6.4017 Å, c = 3.7838 Å
α = 90.00°, β = 90.00°, γ = 146.81°
Atoms (fractional coordinates):
Fe 0.0000 0.0000 0.0000
Fe 0.1830 0.8170 0.5000
Fe 0.5000 0.5000 0.5000
Fe 0.8170 0.1830 0.5000
H 0.0537 0.9463 0.5000
H 0.9463 0.0537 0.5000
Pt 0.3379 0.6621 0.0000
Pt 0.6621 0.3379 0.0000

=====

No. 4
A geometry-optimized Fe2HPt structure. Source: Alexandria, functional PBE-GGA.

Properties
Magnetization ... 5.3 μB per formula unit
ΔE to the lowest computed polymorph ... 0.000 kcal/mol of atoms
Space-group type ... R-3m (166)
Total DFT energy (no corrections) ... -6.6414 eV/atom

a = 6.7977 Å, b = 6.7977 Å, c = 6.7977 Å
α = 22.84°, β = 22.84°, γ = 22.84°
Atoms (fractional coordinates):
Fe 0.2223 0.2223 0.2223
Fe 0.7777 0.7777 0.7777
H 0.5000 0.5000 0.5000
Pt 0.0000 0.0000 0.0000

=====

No. 5
A geometry-optimized FeHPt3 structure. Source: Alexandria, functional PBE-GGA.

Properties
Magnetization ... 4.5 μB per formula unit
ΔE to the lowest computed polymorph ... 0.000 kcal/mol of atoms
Space-group type ... Pm-3m (221)
Total DFT energy (no corrections) ... -6.0112 eV/atom

a = 3.9921 Å, b = 3.9921 Å, c = 3.9921 Å
α = 90.00°, β = 90.00°, γ = 90.00°
Atoms (fractional coordinates):
Fe 0.0000 0.0000 0.0000
H 0.5000 0.5000 0.5000
Pt 0.0000 0.5000 0.5000
Pt 0.5000 0.0000 0.5000
Pt 0.5000 0.5000 0.0000

=====

No. 6
A geometry-optimized FeHPt3 structure. Source: Alexandria, functional PBE-GGA.

Properties
Magnetization ... 4.0 μB per formula unit
ΔE to the lowest computed polymorph ... 34.382 kcal/mol of atoms
Space-group type ... Pm-3m (221)
Total DFT energy (no corrections) ... -4.5202 eV/atom

a = 4.5963 Å, b = 4.5963 Å, c = 4.5963 Å
α = 90.00°, β = 90.00°, γ = 90.00°
Atoms (fractional coordinates):
Fe 0.0000 0.0000 0.0000
H 0.5000 0.5000 0.5000
Pt 0.0000 0.0000 0.5000
Pt 0.0000 0.5000 0.0000
Pt 0.5000 0.0000 0.0000

=====

No. 7
A geometry-optimized Fe3HPt structure. Source: Alexandria, functional PBE-GGA.

Properties
Magnetization ... 10.7 μB per formula unit
ΔE to the lowest computed polymorph ... 37.824 kcal/mol of atoms
Space-group type ... Pm-3m (221)
Total DFT energy (no corrections) ... -5.4010 eV/atom

a = 4.7456 Å, b = 4.7456 Å, c = 4.7456 Å
α = 90.00°, β = 90.00°, γ = 90.00°
Atoms (fractional coordinates):
Fe 0.0000 0.0000 0.5000
Fe 0.0000 0.5000 0.0000
Fe 0.5000 0.0000 0.0000
H 0.5000 0.5000 0.5000
Pt 0.0000 0.0000 0.0000

=====

No. 8
A geometry-optimized Fe2HPt structure. Source: Alexandria, functional PBE-GGA.

Properties
Magnetization ... 0.0 μB per formula unit
ΔE to the lowest computed polymorph ... 8.340 kcal/mol of atoms
Space-group type ... I-42d (122)
Total DFT energy (no corrections) ... -6.2798 eV/atom

a = 4.7199 Å, b = 4.7199 Å, c = 4.7199 Å
α = 109.01°, β = 109.01°, γ = 110.40°
Atoms (fractional coordinates):
Fe 0.0014 0.1250 0.3764
Fe 0.3750 0.9986 0.1236
Fe 0.7486 0.6250 0.6236
Fe 0.8750 0.2514 0.8764
H 0.0000 0.0000 0.0000
H 0.7500 0.2500 0.5000
Pt 0.2500 0.7500 0.5000
Pt 0.5000 0.5000 0.0000